Density functional theory data (PBE) for a relaxed structure of ZrScOs.

Calculated values
Magnetic moment: 0.03 Bohr magnetons per cell
Total DFT energy (no corrections): -107.17 eV/cell
Energy of formation from the pure elements: -0.23 eV/atom

Geometry as CIF:
```
data_ZrScOs
_chemical_formula_sum 'Zr4 Sc4 Os4'
_cell_length_a 6.384
_cell_length_b 6.384
_cell_length_c 6.384
_cell_angle_alpha 90.00
_cell_angle_beta 90.00
_cell_angle_gamma 90.00
_space_group_name_H-M_alt 'F -4 3 m'
_space_group_IT_number 216
_space_group_name_Hall 'F -4 2 3'
loop_
_atom_site_label
_atom_site_fract_x
_atom_site_fract_y
_atom_site_fract_z
Zr1 0.000 0.000 0.000
Sc1 0.000 0.000 0.500
Os1 0.250 0.250 0.750
```